Record 1
Here is an optimized crystal structure of Ga3AuF from the Alexandria database. Energies are from PBE.

Computed properties:
Excess energy over the best structure of this formula in the dataset ... 0.0403 eV per atom

```
5
Lattice="5.019 0.000 0.000 0.000 5.019 0.000 0.000 0.000 5.019" Properties=species:S:1:pos:R:3 pbc="T T T"
Au 0.000 0.000 0.000
Ga 0.000 2.510 0.000
Ga 0.000 0.000 2.510
Ga 2.510 0.000 0.000
F 2.510 2.510 2.510
```


Record 2
Here is an optimized crystal structure of GaAuF2 from the Alexandria database. Energies are from PBE.

Computed properties:
Excess energy over the best structure of this formula in the dataset ... 0.0000 eV per atom

```
4
Lattice="1.728 0.000 9.686 -0.864 1.497 9.686 -0.864 -1.497 9.686" Properties=species:S:1:pos:R:3 pbc="T T T"
Au 0.000 0.000 0.000
Ga 0.000 0.000 14.529
F 0.000 0.000 25.475
F 0.000 0.000 3.582
```


Record 3
Here is an optimized crystal structure of Ga3AuF from the Alexandria database. Energies are from PBE.

Computed properties:
Excess energy over the best structure of this formula in the dataset ... 0.0000 eV per atom

```
5
Lattice="-0.371 -3.724 2.754 -2.721 -2.061 -3.153 3.748 -1.865 -2.016" Properties=species:S:1:pos:R:3 pbc="T T T"
Au 0.328 -3.825 -1.207
Ga -1.360 -1.030 -1.576
Ga 1.874 -0.932 -1.008
Ga -0.186 -1.862 1.377
F 0.000 0.000 0.000
```


Record 4
Here is an optimized crystal structure of GaAuF from the Alexandria database. Energies are from PBE.

Computed properties:
E ... -3.79 eV per atom

```
6
Lattice="3.143 0.001 0.331 1.273 5.146 -0.257 2.184 -0.333 6.902" Properties=species:S:1:pos:R:3 pbc="T T T"
F 5.337 3.648 6.584
F 1.263 1.166 0.392
Au 2.415 1.347 3.870
Au 4.184 3.467 3.106
Ga 3.835 -0.074 5.507
Ga 2.765 4.888 1.469
```


Record 5
Here is an optimized crystal structure of GaAu3F from the Alexandria database. Energies are from PBE.

Computed properties:
Excess energy over the best structure of this formula in the dataset ... 0.0000 eV per atom

```
5
Lattice="4.876 0.000 0.000 0.000 4.876 0.000 0.000 0.000 4.876" Properties=species:S:1:pos:R:3 pbc="T T T"
Au 0.000 2.438 0.000
Au 0.000 0.000 2.438
Au 2.438 0.000 0.000
Ga 0.000 0.000 0.000
F 2.438 2.438 2.438
```


Record 6
Here is an optimized crystal structure of GaAuF5 from the Alexandria database. Energies are from PBE.

Computed properties:
E ... -4.01 eV per atom

```
7
Lattice="-1.797 -0.910 -3.327 1.281 -5.200 -1.542 -4.535 -3.075 1.018" Properties=species:S:1:pos:R:3 pbc="T T T"
Ga 0.000 0.000 0.000
Au -2.525 -4.593 -1.925
F -2.145 -2.673 -2.656
F -2.883 -3.679 0.291
F -0.898 -0.455 -1.663
F -0.371 -4.597 -0.815
F -2.905 -6.513 -1.195
```


Record 7
Here is an optimized crystal structure of GaAuF2 from the Alexandria database. Energies are from PBE.

Computed properties:
Excess energy over the best structure of this formula in the dataset ... 0.3365 eV per atom

```
4
Lattice="0.000 3.085 3.085 3.085 0.000 3.085 3.085 3.085 0.000" Properties=species:S:1:pos:R:3 pbc="T T T"
Au 3.085 3.085 3.085
Ga 0.000 0.000 0.000
F 1.543 1.543 1.543
F 4.628 4.628 4.628
```


Record 8
Here is an optimized crystal structure of GaAu3F from the Alexandria database. Energies are from PBE.

Computed properties:
Excess energy over the best structure of this formula in the dataset ... 0.0074 eV per atom

```
5
Lattice="4.650 0.000 0.000 0.000 4.650 0.000 0.000 0.000 4.650" Properties=species:S:1:pos:R:3 pbc="T T T"
Au 0.000 2.325 0.000
Au 0.000 0.000 2.325
Au 2.325 0.000 0.000
Ga 2.325 2.325 2.325
F 0.000 0.000 0.000
```


Record 9
Here is an optimized crystal structure of Ga2AuF from the Alexandria database. Energies are from PBE.

Computed properties:
Excess energy over the best structure of this formula in the dataset ... 0.0000 eV per atom

```
4
Lattice="0.000 3.228 3.228 3.228 0.000 3.228 3.228 3.228 0.000" Properties=species:S:1:pos:R:3 pbc="T T T"
Au 3.228 3.228 3.228
Ga 1.614 1.614 1.614
Ga 4.842 4.842 4.842
F 0.000 0.000 0.000
```


Record 10
Here is an optimized crystal structure of Ga2AuF from the Alexandria database. Energies are from PBE.

Computed properties:
Excess energy over the best structure of this formula in the dataset ... 0.0270 eV per atom

```
8
Lattice="-1.009 0.238 -5.717 -5.624 -1.114 0.946 -4.295 4.835 -1.993" Properties=species:S:1:pos:R:3 pbc="T T T"
Au 0.000 0.000 0.000
Au -4.310 2.318 -5.048
Ga -2.379 1.212 -3.797
Ga -4.742 0.549 -0.779
Ga -5.862 3.267 -3.258
Ga -8.870 2.891 -5.696
F -3.316 -0.438 -2.386
F -6.617 1.642 -1.717
```


Record 11
Here is an optimized crystal structure of GaHgAuF6 from the Alexandria database. Energies are from PBE.

Computed properties:
E ... -3.64 eV per atom

```
18
Lattice="-1.972 3.575 4.161 -3.084 -0.765 -4.888 -4.676 -7.352 4.101" Properties=species:S:1:pos:R:3 pbc="T T T"
Ga -3.512 0.290 2.170
Ga -6.220 -4.833 1.204
Hg -3.882 -1.156 -0.846
Hg -5.849 -3.386 4.221
Au 0.000 0.000 0.000
Au -2.338 -3.676 2.051
F -3.804 0.875 0.348
F -3.567 2.109 2.831
F -6.577 -4.189 -0.586
F -6.164 -6.651 0.544
F -3.530 -1.510 1.458
F -5.423 0.259 2.472
F -8.142 -4.903 1.423
F -3.154 -0.353 3.961
F -4.308 -4.802 0.903
F -1.589 0.361 1.952
F -6.201 -3.033 1.916
F -5.927 -5.417 3.026
```


Record 12
Here is an optimized crystal structure of GaAuIF2 from the Alexandria database. Energies are from PBE.

Computed properties:
E ... -3.00 eV per atom

```
5
Lattice="4.325 0.000 0.000 0.000 5.650 0.000 0.000 0.000 4.325" Properties=species:S:1:pos:R:3 pbc="T T T"
I 2.163 2.825 2.163
Au 0.000 0.000 0.000
Ga 0.000 2.825 0.000
F 0.000 0.000 2.163
F 2.163 0.000 0.000
```


Record 13
Here is an optimized crystal structure of K2GaAuF6 from the Alexandria database. Energies are from PBE.

Computed properties:
E ... -4.22 eV per atom

```
10
Lattice="-4.557 -1.654 3.859 -5.329 3.161 0.037 -5.161 -2.601 -2.235" Properties=species:S:1:pos:R:3 pbc="T T T"
K -3.762 -0.273 0.415
K -11.285 -0.820 1.246
Ga 0.000 0.000 0.000
Au -7.524 -0.547 0.830
F -5.860 -1.168 2.529
F -8.754 -2.627 1.276
F -9.187 0.074 -0.868
F -6.198 -1.699 -0.889
F -8.849 0.605 2.550
F -6.293 1.533 0.385
```


Record 14
Here is an optimized crystal structure of LaGaAuF2 from the Alexandria database. Energies are from PBE.

Computed properties:
E ... -3.63 eV per atom

```
5
Lattice="4.718 0.000 0.000 0.000 4.718 0.000 0.000 0.000 5.792" Properties=species:S:1:pos:R:3 pbc="T T T"
F 0.000 2.359 0.000
F 2.359 0.000 0.000
Au 0.000 0.000 0.000
Ga 2.359 2.359 2.896
La 0.000 0.000 2.896
```